# TbMnAl2

Crystalline TbMnAl2 at its relaxed geometry (PBE, the Alexandria database).

Cell lengths 4.2673, 4.2673, 15.1982 Å; angles 90.00, 90.00, 120.00 degrees
Space group R-3m (No. 166, hexagonal axes)
One atom of each set of equivalent atoms:
Tb 0.0000 0.0000 0.0000 [3 per cell]
Mn 0.0000 0.0000 0.5000 [3 per cell]
Al 0.0000 0.0000 0.2109 [6 per cell]

## Properties
**Formation energy from the elements**: -0.198 eV per atom
**Volume**: 19.97 A^3/atom
**Magnetic moment**: 0.67 μB/atom